# 1
# Ba2SrTlAs

An optimized crystal structure of Ba2SrTlAs (PBE, Alexandria via LeMat-Bulk). Values from VASP.

Calculated values
energy of formation = -258.1 kJ/mol of formula units
symmetry = P4/mmm, No. 123
crystal system = tetragonal

Geometry as Quantum ESPRESSO input:
```
&SYSTEM
  ibrav = 0, nat = 5, ntyp = 4
/
ATOMIC_SPECIES
Ba 137.33 Ba.upf
Sr 87.62 Sr.upf
As 74.92 As.upf
Tl 204.38 Tl.upf
ATOMIC_POSITIONS angstrom
Ba 0.000 3.192 0.000
Sr 0.000 0.000 2.979
As 0.000 0.000 0.000
Tl 3.192 3.192 2.979
Ba 3.192 0.000 0.000
CELL_PARAMETERS angstrom
6.383 0.000 0.000
0.000 6.383 0.000
0.000 0.000 5.957
```

***

# 2
# Cu2MoPb

An optimized crystal structure of Cu2MoPb (PBE, Alexandria via LeMat-Bulk). Values from VASP.

Calculated values
energy of formation = 245.6 kJ/mol of formula units
symmetry = I4/mmm, No. 139
crystal system = tetragonal

Geometry as Quantum ESPRESSO input:
```
&SYSTEM
  ibrav = 0, nat = 4, ntyp = 3
/
ATOMIC_SPECIES
Mo 95.94 Mo.upf
Cu 63.55 Cu.upf
Pb 207.20 Pb.upf
ATOMIC_POSITIONS angstrom
Mo 0.829 2.336 1.432
Cu 0.000 0.000 0.000
Cu 3.308 2.330 0.000
Pb 2.479 -0.005 1.432
CELL_PARAMETERS angstrom
4.957 -0.011 0.000
1.659 4.671 0.000
-3.308 -2.330 2.864
```

***

# 3
# NaAgAsSe3

An optimized crystal structure of NaAgAsSe3 (PBE, Alexandria via LeMat-Bulk). Values from VASP.

Calculated values
formation energy (no corrections) = -0.2889 eV/atom
symmetry = P2_1/m, No. 11
crystal system = monoclinic

Geometry as Quantum ESPRESSO input:
```
&SYSTEM
  ibrav = 0, nat = 12, ntyp = 4
/
ATOMIC_SPECIES
Se 78.96 Se.upf
Ag 107.87 Ag.upf
As 74.92 As.upf
Na 22.99 Na.upf
ATOMIC_POSITIONS angstrom
Se 2.826 3.644 1.497
Se 0.942 5.597 4.316
Ag 0.942 -0.734 5.510
As 2.826 0.924 8.040
Na 2.826 5.236 6.670
Ag 2.826 7.322 3.541
Se 0.942 -0.912 8.195
Na 0.942 1.352 2.381
Se 0.942 2.945 7.555
Se 2.826 7.501 0.857
Se 2.826 0.991 4.736
As 0.942 5.664 1.012
CELL_PARAMETERS angstrom
3.769 0.000 0.000
0.000 8.782 0.109
0.000 -2.193 8.943
```

***

# 4
# YNiTe2

An optimized crystal structure of YNiTe2 (PBE, Alexandria via LeMat-Bulk). Values from VASP.

Calculated values
formation energy (no corrections) = -0.7965 eV/atom
symmetry = Amm2, No. 38
crystal system = orthorhombic

Geometry as Quantum ESPRESSO input:
```
&SYSTEM
  ibrav = 0, nat = 4, ntyp = 3
/
ATOMIC_SPECIES
Ni 58.69 Ni.upf
Te 127.60 Te.upf
Y 88.91 Y.upf
ATOMIC_POSITIONS angstrom
Ni 2.022 5.266 4.807
Te 2.022 1.243 2.284
Y 0.000 3.253 3.690
Te 0.000 5.254 6.207
CELL_PARAMETERS angstrom
4.044 0.000 0.000
0.000 4.039 0.029
0.000 1.968 6.766
```

***

# 5
# Y4PSe3

An optimized crystal structure of Y4PSe3 (PBE, Alexandria via LeMat-Bulk). Values from VASP.

Calculated values
formation energy (no corrections) = -1.7748 eV/atom
symmetry = Pm-3m, No. 221
crystal system = cubic

Geometry as Quantum ESPRESSO input:
```
&SYSTEM
  ibrav = 0, nat = 8, ntyp = 3
/
ATOMIC_SPECIES
Se 78.96 Se.upf
Y 88.91 Y.upf
P 30.97 P.upf
ATOMIC_POSITIONS angstrom
Se 1.761 -1.429 3.373
Y -0.617 -2.072 1.893
Y 0.270 0.455 4.949
Se 0.887 2.528 3.057
Y 2.378 0.644 1.480
Y -1.491 1.884 1.577
P 0.000 0.000 0.000
Se -2.108 -0.188 3.470
CELL_PARAMETERS angstrom
-1.234 -4.145 3.786
4.756 1.287 2.960
-2.982 3.768 3.153
```

***

# 6
# Ta5TiMn4

An optimized crystal structure of Ta5TiMn4 (PBE, Alexandria via LeMat-Bulk). Values from VASP.

Calculated values
energy of formation = -180.1 kJ/mol of formula units
symmetry = P4/mmm, No. 123
crystal system = tetragonal

Geometry as Quantum ESPRESSO input:
```
&SYSTEM
  ibrav = 0, nat = 10, ntyp = 3
/
ATOMIC_SPECIES
Ta 180.95 Ta.upf
Ti 47.87 Ti.upf
Mn 54.94 Mn.upf
ATOMIC_POSITIONS angstrom
Ta 3.743 -1.091 3.649
Ti 0.000 0.000 0.000
Ta 6.243 -0.569 5.324
Mn 10.248 2.141 6.868
Mn 7.742 1.618 5.188
Mn 2.737 0.572 1.834
Ta 8.742 -0.047 6.999
Mn 5.243 1.096 3.514
Ta 11.235 0.474 8.669
Ta 1.251 -1.612 1.978
CELL_PARAMETERS angstrom
-1.472 -0.993 2.506
0.973 -2.859 -0.561
12.985 2.713 8.702
```

***

| no. | size of the total moment (Bohr magnetons per cell) | volume (A^3/atom) |
| --- | --- | --- |
| 1 | 1.37 | 48.542 |
| 2 | 1.27 | 16.590 |
| 3 | 0.00 | 24.738 |
| 4 | 0.00 | 27.571 |
| 5 | 0.00 | 23.735 |
| 6 | 0.00 | 14.967 |